No. 1
The following is a GGA-PBE calculation of a geometry-optimized KTlGaSb structure, from the Alexandria database.

Summary:
Size of the total moment, μB per formula unit: 0.0
Uncorrected formation energy, eV per formula unit: -0.303
Uncorrected energy, eV/atom: -2.729

POSCAR file:
```
KTlGaSb
1.0
0.000 3.926 3.926
3.926 0.000 3.926
3.926 3.926 0.000
K Tl Ga Sb
1 1 1 1
direct
0.000 0.000 0.000 K
0.750 0.750 0.750 Tl
0.250 0.250 0.250 Ga
0.500 0.500 0.500 Sb
```

***

No. 2
The following is a GGA-PBE calculation of a geometry-optimized K2ZnGaSb2 structure, from the Alexandria database.

Summary:
Size of the total moment, μB per formula unit: 0.0
Uncorrected formation energy, eV per formula unit: -2.169
Uncorrected energy, eV/atom: -2.818

POSCAR file:
```
K2ZnGaSb2
1.0
-3.447 7.859 3.453
3.447 -7.859 3.453
3.447 7.859 -3.453
K Zn Ga Sb
4 2 2 4
direct
0.166 0.249 0.415 K
0.334 0.749 0.083 K
0.666 0.251 0.917 K
0.834 0.751 0.585 K
0.250 0.750 0.500 Zn
0.750 0.250 0.500 Zn
0.250 0.250 0.000 Ga
0.750 0.750 0.000 Ga
0.095 0.744 0.839 Sb
0.405 0.244 0.649 Sb
0.595 0.756 0.351 Sb
0.905 0.256 0.161 Sb
```

***

No. 3
The following is a GGA-PBE calculation of a geometry-optimized KSc2Ga2 structure, from the Alexandria database.

Summary:
Formation enthalpy at 0 K, eV/atom: -0.117
Size of the total moment, μB per formula unit: 0.3
Uncorrected energy, eV/atom: -4.080
Energy above the lowest structure with this stoichiometry, meV/atom: 111

POSCAR file:
```
KSc2Ga2
1.0
8.488 0.000 0.000
0.000 8.488 0.000
0.000 0.000 3.260
K Sc Ga
2 4 4
direct
0.000 0.000 0.000 K
0.500 0.500 0.000 K
0.168 0.332 0.500 Sc
0.332 0.832 0.500 Sc
0.668 0.168 0.500 Sc
0.832 0.668 0.500 Sc
0.119 0.619 0.000 Ga
0.381 0.119 0.000 Ga
0.619 0.881 0.000 Ga
0.881 0.381 0.000 Ga
```

***

No. 4
The following is a GGA-PBE calculation of a geometry-optimized K3ScGa structure, from the Alexandria database.

Summary:
Formation enthalpy at 0 K, eV/atom: 0.730
Size of the total moment, μB per formula unit: 1.3
Uncorrected energy, eV/atom: -1.800
Energy above the lowest structure with this stoichiometry, meV/atom: 0

POSCAR file:
```
K3ScGa
1.0
6.468 0.000 0.000
0.000 6.468 0.000
0.000 0.000 6.468
K Sc Ga
3 1 1
direct
0.000 0.000 0.500 K
0.000 0.500 0.000 K
0.500 0.000 0.000 K
0.500 0.500 0.500 Sc
0.000 0.000 0.000 Ga
```

***

No. 5
The following is a GGA-PBE calculation of a geometry-optimized KSc3Ga structure, from the Alexandria database.

Summary:
Formation enthalpy at 0 K, eV/atom: 1.337
Size of the total moment, μB per formula unit: 0.0
Uncorrected energy, eV/atom: -3.287
Energy above the lowest structure with this stoichiometry, meV/atom: 1014

POSCAR file:
```
KSc3Ga
1.0
4.927 0.000 0.000
0.000 4.927 0.000
0.000 0.000 4.927
K Sc Ga
1 3 1
direct
0.000 0.000 0.000 K
0.000 0.000 0.500 Sc
0.000 0.500 0.000 Sc
0.500 0.000 0.000 Sc
0.500 0.500 0.500 Ga
```

***

No. 6
The following is a GGA-PBE calculation of a geometry-optimized KSc3Ga structure, from the Alexandria database.

Summary:
Formation enthalpy at 0 K, eV/atom: 0.323
Size of the total moment, μB per formula unit: 1.6
Uncorrected energy, eV/atom: -4.301
Energy above the lowest structure with this stoichiometry, meV/atom: 0

POSCAR file:
```
KSc3Ga
1.0
5.356 0.000 0.000
0.000 5.356 0.000
0.000 0.000 5.356
K Sc Ga
1 3 1
direct
0.000 0.000 0.000 K
0.000 0.500 0.500 Sc
0.500 0.000 0.500 Sc
0.500 0.500 0.000 Sc
0.500 0.500 0.500 Ga
```

***

No. 7
The following is a GGA-PBE calculation of a geometry-optimized KSc2Ga2 structure, from the Alexandria database.

Summary:
Formation enthalpy at 0 K, eV/atom: -0.228
Size of the total moment, μB per formula unit: 0.0
Uncorrected energy, eV/atom: -4.191
Energy above the lowest structure with this stoichiometry, meV/atom: 0

POSCAR file:
```
KSc2Ga2
1.0
8.701 0.000 0.000
0.000 8.701 0.000
0.000 0.000 3.050
K Sc Ga
2 4 4
direct
0.000 0.000 0.000 K
0.500 0.500 0.000 K
0.125 0.375 0.000 Sc
0.375 0.875 0.000 Sc
0.625 0.125 0.000 Sc
0.875 0.625 0.000 Sc
0.171 0.671 0.500 Ga
0.329 0.171 0.500 Ga
0.671 0.829 0.500 Ga
0.829 0.329 0.500 Ga
```

***

No. 8
The following is a GGA-PBE calculation of a geometry-optimized K2ScGa structure, from the Alexandria database.

Summary:
Formation enthalpy at 0 K, eV/atom: 0.439
Size of the total moment, μB per formula unit: 0.3
Uncorrected energy, eV/atom: -2.449

POSCAR file:
```
K2ScGa
1.0
-6.169 6.169 2.654
6.169 -6.169 2.654
6.169 6.169 -2.654
K Sc Ga
4 2 2
direct
0.375 0.231 0.356 K
0.769 0.125 0.144 K
0.875 0.019 0.644 K
0.981 0.625 0.856 K
0.250 0.750 0.500 Sc
0.500 0.500 0.000 Sc
0.000 0.000 0.000 Ga
0.750 0.250 0.500 Ga
```

***

What did the fifth record say?
The following is a GGA-PBE calculation of a geometry-optimized KSc3Ga structure, from the Alexandria database.

Summary:
Formation enthalpy at 0 K, eV/atom: 1.337
Size of the total moment, μB per formula unit: 0.0
Uncorrected energy, eV/atom: -3.287
Energy above the lowest structure with this stoichiometry, meV/atom: 1014

POSCAR file:
```
KSc3Ga
1.0
4.927 0.000 0.000
0.000 4.927 0.000
0.000 0.000 4.927
K Sc Ga
1 3 1
direct
0.000 0.000 0.000 K
0.000 0.000 0.500 Sc
0.000 0.500 0.000 Sc
0.500 0.000 0.000 Sc
0.500 0.500 0.500 Ga
```